[1]
Density functional theory data (PBE-GGA) for an optimized crystal structure of Ca4HoTe5.

Structure (extended XYZ):
```
10
Lattice="-2.232 2.232 15.860 2.232 -2.232 15.860 2.232 2.232 -15.860" Properties=species:S:1:pos:R:3 pbc="T T T"
Ca 0.000 0.000 3.147
Ca 0.000 0.000 9.534
Ca 0.000 0.000 22.186
Ca 0.000 0.000 28.573
Ho 0.000 0.000 15.860
Te 0.000 0.000 0.000
Te 0.000 0.000 6.328
Te 0.000 0.000 12.764
Te 0.000 0.000 18.956
Te 0.000 0.000 25.392
```

Results
As for the polymorph energy (0 for the lowest one): 0.00 eV per formula unit. Its formation energy from raw total energies is -1560 meV per atom.


[2]
Density functional theory data (PBE-GGA) for an optimized crystal structure of Ca2HoTe3.

Structure (extended XYZ):
```
12
Lattice="4.427 0.000 0.000 0.000 6.282 0.000 0.000 0.000 13.361" Properties=species:S:1:pos:R:3 pbc="T T T"
Ca 0.000 0.000 2.250
Ca 0.000 0.000 11.112
Ca 2.213 3.141 4.431
Ca 2.213 3.141 8.931
Ho 0.000 0.000 6.681
Ho 2.213 3.141 0.000
Te 0.000 3.141 2.166
Te 0.000 3.141 6.681
Te 0.000 3.141 11.196
Te 2.213 0.000 0.000
Te 2.213 0.000 4.515
Te 2.213 0.000 8.846
```

Results
As for the polymorph energy (0 for the lowest one): 0.03 eV per formula unit. Its formation energy from raw total energies is -1498 meV per atom.


[3]
Density functional theory data (PBE-GGA) for an optimized crystal structure of CaHo4Te6.

Structure (extended XYZ):
```
22
Lattice="2.159 -7.129 0.000 2.159 7.129 0.000 0.000 0.000 22.406" Properties=species:S:1:pos:R:3 pbc="T T T"
Ca 2.159 4.866 16.804
Ca 2.159 -4.866 5.601
Ho 2.159 5.861 2.861
Ho 2.159 5.861 8.342
Ho 2.159 2.013 0.837
Ho 2.159 2.013 10.366
Ho 2.159 -2.013 12.040
Ho 2.159 -2.013 21.568
Ho 2.159 -5.861 14.064
Ho 2.159 -5.861 19.545
Te 0.000 0.000 0.000
Te 0.000 0.000 11.203
Te 2.159 4.556 5.601
Te 2.159 3.289 13.201
Te 2.159 3.289 20.408
Te 2.159 0.730 3.642
Te 2.159 0.730 7.561
Te 2.159 -0.730 14.845
Te 2.159 -0.730 18.764
Te 2.159 -3.289 1.998
Te 2.159 -3.289 9.205
Te 2.159 -4.556 16.804
```

Results
Its formation energy from raw total energies is -1386 meV per atom.


[4]
Density functional theory data (PBE-GGA) for an optimized crystal structure of Ca4HoTe5.

Structure (extended XYZ):
```
10
Lattice="-5.000 5.000 3.157 5.000 -5.000 3.157 5.000 5.000 -3.157" Properties=species:S:1:pos:R:3 pbc="T T T"
Ca 6.990 0.979 0.000
Ca 0.979 3.009 0.000
Ca 4.020 1.991 3.157
Ca -1.991 4.020 3.157
Ho 0.000 0.000 3.157
Te 0.000 0.000 0.000
Te 4.014 2.058 0.000
Te 2.942 -0.986 3.157
Te 2.058 5.986 0.000
Te 0.986 2.942 3.157
```

Results
As for the polymorph energy (0 for the lowest one): 0.03 eV per formula unit. Its formation energy from raw total energies is -1556 meV per atom.


[5]
Density functional theory data (PBE-GGA) for an optimized crystal structure of CaHo2Te4.

Structure (extended XYZ):
```
14
Lattice="-4.412 4.467 6.153 4.412 -4.467 6.153 4.412 4.467 -6.153" Properties=species:S:1:pos:R:3 pbc="T T T"
Ca 0.000 0.000 0.000
Ca 0.000 4.467 0.000
Ho 4.412 0.000 0.000
Ho -2.206 2.234 3.076
Ho 0.000 0.000 6.153
Ho 2.206 2.234 3.076
Te 2.271 2.234 -0.040
Te 6.554 2.234 -0.040
Te 4.412 0.072 3.033
Te 0.000 0.072 3.120
Te 4.412 4.395 3.033
Te 0.000 4.395 3.120
Te -2.142 2.234 6.193
Te 2.142 2.234 6.193
```

Results
As for the polymorph energy (0 for the lowest one): 0.02 eV per formula unit. Its formation energy from raw total energies is -1460 meV per atom.


[6]
Density functional theory data (PBE-GGA) for an optimized crystal structure of CaHoTe.

Structure (extended XYZ):
```
6
Lattice="4.582 0.000 0.000 0.000 4.582 0.000 0.000 0.000 8.571" Properties=species:S:1:pos:R:3 pbc="T T T"
Ca 1.146 1.146 1.335
Ca 3.437 3.437 7.236
Ho 1.146 3.437 4.286
Ho 3.437 1.146 4.286
Te 1.146 1.146 6.704
Te 3.437 3.437 1.867
```

Results
Its formation energy from raw total energies is -869 meV per atom.


[7]
Density functional theory data (PBE-GGA) for an optimized crystal structure of Ca3Ho2ThTe6.

Structure (extended XYZ):
```
12
Lattice="9.781 -2.185 0.000 9.781 2.185 0.000 -2.388 0.000 8.672" Properties=species:S:1:pos:R:3 pbc="T T T"
Ca 0.000 0.000 0.000
Ca 4.954 0.000 5.838
Ca 12.220 0.000 2.834
Ho 6.214 0.000 1.582
Ho 10.959 0.000 7.090
Th -1.194 0.000 4.336
Te 1.932 0.000 5.056
Te 3.180 0.000 0.628
Te 9.210 0.000 2.105
Te 7.964 0.000 6.566
Te 13.993 0.000 8.044
Te 15.242 0.000 3.616
```

Results
Its formation energy from raw total energies is -1374 meV per atom.


[8]
Density functional theory data (PBE-GGA) for an optimized crystal structure of CaHo2Tl3Te6.

Structure (extended XYZ):
```
12
Lattice="3.882 -6.717 0.000 3.882 6.717 0.000 -2.582 0.000 7.993" Properties=species:S:1:pos:R:3 pbc="T T T"
Ca 0.000 0.000 0.000
Ho 3.882 2.248 0.000
Ho 3.882 -2.248 0.000
Tl 2.590 4.504 3.997
Tl 2.590 0.000 3.997
Tl 2.590 -4.504 3.997
Te 1.335 2.305 1.742
Te 0.082 0.000 6.278
Te 1.335 -2.305 1.742
Te 3.846 2.305 6.252
Te 5.099 0.000 1.716
Te 3.846 -2.305 6.252
```

Results
Its formation energy from raw total energies is -986 meV per atom.


[9]
Density functional theory data (PBE-GGA) for an optimized crystal structure of Ca2HoTm2Te6.

Structure (extended XYZ):
```
11
Lattice="3.760 -6.522 0.000 3.760 6.522 0.000 -2.513 0.000 7.323" Properties=species:S:1:pos:R:3 pbc="T T T"
Ca 3.760 4.365 0.000
Ca 3.760 -4.365 0.000
Ho -1.256 0.000 3.661
Tm 2.504 2.194 3.661
Tm 2.504 -2.194 3.661
Te 0.015 2.163 5.435
Te 1.297 0.000 1.898
Te 0.015 -2.163 5.435
Te 4.993 2.163 1.888
Te 3.711 0.000 5.425
Te 4.993 -2.163 1.888
```

Results
Its formation energy from raw total energies is -1465 meV per atom.


[10]
Density functional theory data (PBE-GGA) for an optimized crystal structure of CaHo4TmTe8.

Structure (extended XYZ):
```
14
Lattice="4.528 2.614 7.388 -4.528 2.614 7.388 0.000 -5.228 7.388" Properties=species:S:1:pos:R:3 pbc="T T T"
Ca 0.000 0.000 0.000
Ho -2.301 -1.328 10.143
Ho 0.000 0.000 5.534
Ho 2.301 -1.328 10.143
Ho 0.000 2.657 10.143
Tm 0.000 0.000 13.904
Te 0.000 0.000 8.482
Te 0.000 -2.433 11.962
Te -2.107 1.217 11.962
Te -2.079 -1.200 15.760
Te 2.107 1.217 11.962
Te 2.079 -1.200 15.760
Te 0.000 2.400 15.760
Te 0.000 0.000 19.175
```

Results
Its formation energy from raw total energies is -1299 meV per atom.


[11]
Density functional theory data (PBE-GGA) for an optimized crystal structure of CaHo3Tm2Te6.

Structure (extended XYZ):
```
12
Lattice="9.483 -2.172 0.000 9.483 2.172 0.000 -2.065 0.000 8.464" Properties=species:S:1:pos:R:3 pbc="T T T"
Ca 0.000 0.000 0.000
Ho -1.032 0.000 4.232
Ho 6.000 0.000 1.500
Ho 10.901 0.000 6.964
Tm 4.892 0.000 5.581
Tm 12.009 0.000 2.883
Te 1.946 0.000 4.904
Te 3.029 0.000 0.714
Te 7.879 0.000 6.317
Te 9.023 0.000 2.147
Te 13.872 0.000 7.750
Te 14.955 0.000 3.560
```

Results
Its formation energy from raw total energies is -1281 meV per atom.


[12]
Density functional theory data (PBE-GGA) for an optimized crystal structure of Ca3Ho2TmTe6.

Structure (extended XYZ):
```
12
Lattice="9.662 -2.187 0.000 9.662 2.187 0.000 -2.223 0.000 8.591" Properties=species:S:1:pos:R:3 pbc="T T T"
Ca 0.000 0.000 0.000
Ca 4.947 0.000 5.723
Ca 12.156 0.000 2.868
Ho 6.040 0.000 1.398
Ho 11.062 0.000 7.192
Tm -1.111 0.000 4.295
Te 1.865 0.000 5.045
Te 3.048 0.000 0.697
Te 9.055 0.000 2.199
Te 8.047 0.000 6.391
Te 14.054 0.000 7.894
Te 15.238 0.000 3.546
```

Results
Its formation energy from raw total energies is -1427 meV per atom.